Record 1
NaZrBi2 | PBE | relaxed

The structure belongs to space group Fm-3m (No. 225); the cell edges are 7.541, 7.541 and 7.541 Å and the angles 90.00°, 90.00° and 90.00°. The distinct sites, in fractional coordinates, are Na at (0.000, 0.000, 0.000), Zr at (0.000, 0.000, 0.500) and Bi at (0.250, 0.250, 0.250).

The value obtained for the energy of formation is -103 meV per atom.

***

Record 2
NaZrBi2 | PBE | relaxed

The structure belongs to space group R-3m (No. 166, hexagonal axes); the cell edges are 3.9738, 3.9738 and 26.2492 Å and the angles 90.00°, 90.00° and 120.00°. The distinct sites, in fractional coordinates, are Na at (0.0000, 0.0000, 0.0000), Zr at (0.0000, 0.0000, 0.5000) and Bi at (0.0000, 0.0000, 0.2420).

The value obtained for the energy of formation is -252 meV per atom.

***

Record 3
NaZrBi2 | PBE | relaxed

The structure belongs to space group P4/mmm (No. 123); the cell edges are 5.641, 5.641 and 3.325 Å and the angles 90.00°, 90.00° and 90.00°. The distinct sites, in fractional coordinates, are Na at (0.000, 0.000, 0.000), Zr at (0.500, 0.500, 0.000) and Bi at (0.000, 0.500, 0.500).

The value obtained for the energy of formation is -143 meV per atom.

***

Record 4
NaZr3Bi | PBE | relaxed

The structure belongs to space group Pm-3m (No. 221); the cell edges are 5.035, 5.035 and 5.035 Å and the angles 90.00°, 90.00° and 90.00°. The distinct sites, in fractional coordinates, are Na at (0.000, 0.000, 0.000), Zr at (0.000, 0.000, 0.500) and Bi at (0.500, 0.500, 0.500).

The value obtained for the energy of formation is 1129 meV per atom.

***

Record 5
NbBi | PBE | relaxed

The structure belongs to space group Pm-3n (No. 223); the cell edges are 8.038, 8.038 and 8.038 Å and the angles 90.00°, 90.00° and 90.00°. The distinct sites, in fractional coordinates, are Nb at (0.000, 0.250, 0.500) and Bi at (0.000, 0.500, 0.250).

The value obtained for the energy of formation is 1238 meV per atom.

***

Record 6
NbBi | PBE | relaxed

The structure belongs to space group Amm2 (No. 38); the cell edges are 3.639, 10.492 and 7.908 Å and the angles 90.00°, 90.00° and 90.00°. The distinct sites, in fractional coordinates, are Nb at (0.000, 0.000, 0.000), Nb at (0.500, 0.204, 0.989), Bi at (0.000, 0.157, 0.700) and Bi at (0.500, 0.000, 0.299).

The value obtained for the energy of formation is 275 meV per atom.

***

Record 7
Nb3Bi | PBE | relaxed

The structure belongs to space group Cmmm (No. 65); the cell edges are 3.536, 5.112 and 9.076 Å and the angles 90.00°, 90.00° and 90.00°. The distinct sites, in fractional coordinates, are Nb at (0.000, 0.000, 0.000), Nb at (0.000, 0.500, 0.234) and Bi at (0.000, 0.000, 0.500).

The value obtained for the energy of formation is 192 meV per atom.

***

Record 8
NbBi | PBE | relaxed

The structure belongs to space group P4_2/mnm (No. 136); the cell edges are 6.100, 6.100 and 5.741 Å and the angles 90.00°, 90.00° and 90.00°. The distinct sites, in fractional coordinates, are Nb at (0.147, 0.147, 0.000) and Bi at (0.195, 0.195, 0.500).

The value obtained for the energy of formation is 580 meV per atom.

***

Record 9
NbBi | PBE | relaxed

The structure belongs to space group F-43m (No. 216); the cell edges are 6.563, 6.563 and 6.563 Å and the angles 90.00°, 90.00° and 90.00°. The distinct sites, in fractional coordinates, are Nb at (0.000, 0.000, 0.000) and Bi at (0.250, 0.250, 0.750).

The value obtained for the energy of formation is 1170 meV per atom.

***

Record 10
Nb5Bi | PBE | relaxed

The structure belongs to space group Cmmm (No. 65); the cell edges are 4.682, 13.965 and 3.528 Å and the angles 90.00°, 90.00° and 90.00°. The distinct sites, in fractional coordinates, are Nb at (0.000, 0.000, 0.000), Nb at (0.000, 0.164, 0.500), Nb at (0.000, 0.323, 0.000) and Bi at (0.000, 0.500, 0.500).

The value obtained for the energy of formation is 49 meV per atom.

***

Record 11
NbBi | PBE | relaxed

The structure belongs to space group P6_3/m (No. 176); the cell edges are 10.6551, 10.6551 and 3.3805 Å and the angles 90.00°, 90.00° and 120.00°. The distinct sites, in fractional coordinates, are Nb at (0.1091, 0.5201, 0.2500) and Bi at (0.0699, 0.7624, 0.2500).

The value obtained for the energy of formation is 554 meV per atom.

***

Record 12
NbBi | PBE | relaxed

The structure belongs to space group P2_1/m (No. 11); the cell edges are 3.342, 4.340 and 7.566 Å and the angles 90.00°, 90.16° and 90.00°. The distinct sites, in fractional coordinates, are Nb at (0.250, 0.250, 0.026) and Bi at (0.253, 0.750, 0.312).

The value obtained for the energy of formation is 299 meV per atom.

***

Record 13
NbBi | PBE | relaxed

The structure belongs to space group P2_12_12_1 (No. 19); the cell edges are 5.830, 7.787 and 9.044 Å and the angles 90.00°, 90.00° and 90.00°. The distinct sites, in fractional coordinates, are Nb at (0.040, 0.178, 0.389), Nb at (0.226, 0.980, 0.128), Bi at (0.007, 0.808, 0.412) and Bi at (0.047, 0.385, 0.655).

The value obtained for the energy of formation is 287 meV per atom.

***

Record 14
NbBi | PBE | relaxed

The structure belongs to space group I-43m (No. 217); the cell edges are 8.709, 8.709 and 8.709 Å and the angles 90.00°, 90.00° and 90.00°. The distinct sites, in fractional coordinates, are Nb at (0.113, 0.113, 0.113) and Bi at (0.198, 0.198, 0.802).

The value obtained for the energy of formation is 686 meV per atom.

***

Record 15
Nb3Bi | PBE | relaxed

The structure belongs to space group Pm-3m (No. 221); the cell edges are 4.278, 4.278 and 4.278 Å and the angles 90.00°, 90.00° and 90.00°. The distinct sites, in fractional coordinates, are Nb at (0.000, 0.000, 0.500) and Bi at (0.500, 0.500, 0.500).

The value obtained for the energy of formation is 133 meV per atom.

***

Record 16
NbBi | PBE | relaxed

The structure belongs to space group P2_1/m (No. 11); the cell edges are 3.637, 13.893 and 5.728 Å and the angles 90.00°, 108.49° and 90.00°. The distinct sites, in fractional coordinates, are Nb at (0.059, 0.250, 0.117), Nb at (0.425, 0.120, 0.852), Bi at (0.137, 0.050, 0.274) and Bi at (0.217, 0.750, 0.433).

The value obtained for the energy of formation is 139 meV per atom.

***

Record 17
Nb3Bi | PBE | relaxed

The structure belongs to space group Pm-3n (No. 223); the cell edges are 5.380, 5.380 and 5.380 Å and the angles 90.00°, 90.00° and 90.00°. The distinct sites, in fractional coordinates, are Nb at (0.000, 0.250, 0.500) and Bi at (0.000, 0.000, 0.000).

The value obtained for the energy of formation is 7 meV per atom.

***

Record 18
NbBi | PBE | relaxed

The structure belongs to space group I4/m (No. 87); the cell edges are 11.047, 11.047 and 3.553 Å and the angles 90.00°, 90.00° and 90.00°. The distinct sites, in fractional coordinates, are Nb at (0.066, 0.624, 0.000) and Bi at (0.131, 0.200, 0.000).

The value obtained for the energy of formation is 217 meV per atom.

***

Record 19
NbBi | PBE | relaxed

The structure belongs to space group Pmmn (No. 59, origin choice 2); the cell edges are 3.445, 16.501 and 4.905 Å and the angles 90.00°, 90.00° and 90.00°. The distinct sites, in fractional coordinates, are Nb at (0.250, 0.064, 0.078), Nb at (0.250, 0.750, 0.158), Bi at (0.250, 0.250, 0.317) and Bi at (0.250, 0.589, 0.407).

The value obtained for the energy of formation is 354 meV per atom.

***

Record 20
NbBi | PBE | relaxed

The structure belongs to space group I4/m (No. 87); the cell edges are 12.521, 12.521 and 3.344 Å and the angles 90.00°, 90.00° and 90.00°. The distinct sites, in fractional coordinates, are Nb at (0.172, 0.721, 0.000) and Bi at (0.054, 0.219, 0.000).

The value obtained for the energy of formation is 566 meV per atom.

***

Calculated D(E_F) in order - 0.794, 0.399, 0.655, 0.991, 1.339, 0.546, 0.759, 0.201, 1.807, 0.949, 0.763, 0.974, 0.544, 1.468, 0.377, 0.417, 0.357, 0.998, 0.916, 0.614 states/eV/atom